This record from Alexandria via LeMat-Bulk describes a relaxed structure of BaYHo. The functional is PBE.

* electronic total energy: -4.127 eV/atom
* formation energy from the elements: 0.195 eV per atom
* D(E_F): 11.5 states/eV/cell

Lattice parameters (Å, degrees): 3.781 3.781 16.358 90.00 90.00 90.00
Space group I4mm (No. 107)
One atom of each set of equivalent atoms:
1 Ba 0.000 0.000 0.000 x2
2 Y 0.000 0.000 0.683 x2
3 Ho 0.000 0.000 0.319 x2